# 1
SrCd2Sb | PBE | relaxed

The structure in POSCAR format:
```
SrCd2Sb
1.0
5.9971 0.0640 0.0000
2.0372 5.6409 0.0000
-4.0172 -2.8524 3.4199
Cd Sb Sr
2 1 1
direct
0.0000 0.0000 0.0000
0.2500 0.7500 0.5000
0.5000 0.5000 0.0000
0.7500 0.2500 0.5000
```

***

# 2
SrCdSb2 | PBE | relaxed

The structure in POSCAR format:
```
SrCdSb2
1.0
-0.8593 4.2630 1.5560
-3.0414 0.7923 -3.8502
-3.8205 -1.7410 2.6597
Cd Sb Sr
1 2 1
direct
0.5000 0.0000 0.5000
0.0000 0.0000 0.0000
0.0000 0.5000 0.5000
0.5000 0.5000 0.0000
```

***

# 3
SrCdSb2 | PBE | relaxed

The structure in POSCAR format:
```
SrCdSb2
1.0
-2.1138 -1.7689 -2.2286
1.3466 -4.4638 2.2659
-5.0402 0.6460 4.2679
Cd Sb Sr
1 2 1
direct
0.5000 0.5000 0.7853
0.0000 0.0000 0.9446
0.5000 0.5000 0.3168
0.0000 0.0000 0.4533
```

***

# 4
SrCd2Sb | PBE | relaxed

The structure in POSCAR format:
```
SrCd2Sb
1.0
-0.5883 -1.1027 3.7561
-1.8067 -3.2932 -1.2494
6.4796 -3.5450 -0.0259
Cd Sb Sr
2 1 1
direct
0.0000 0.0000 0.0430
0.5000 0.5000 0.2510
0.0000 0.0000 0.4614
0.5000 0.5000 0.7446
```

***

# 5
Sr2CdSb | PBE | relaxed

The structure in POSCAR format:
```
Sr2CdSb
1.0
6.0740 0.0000 0.0000
0.0000 6.0740 0.0000
3.0370 3.0370 9.9625
Sb Sr Cd
2 4 2
direct
0.0000 0.0000 0.0000
0.7500 0.2500 0.5000
0.6393 0.1250 0.2500
0.1107 0.6250 0.2500
0.3750 0.3607 0.7500
0.8750 0.8893 0.7500
0.5000 0.5000 0.0000
0.2500 0.7500 0.5000
```

***

# 6
SrCdSb | PBE | relaxed

The structure in POSCAR format:
```
SrCdSb
1.0
5.5244 0.0000 0.0000
0.0000 4.2531 0.0000
-2.7622 -2.1265 8.5470
Sr Cd Sb
2 2 2
direct
0.6568 0.1568 0.3135
0.3432 0.8432 0.6865
0.7430 0.5000 0.0000
0.2570 0.5000 0.0000
0.1493 0.6493 0.2987
0.8507 0.3507 0.7013
```

***

# 7
Sr2CdSb | PBE | relaxed

The structure in POSCAR format:
```
Sr2CdSb
1.0
6.5979 -0.0086 -0.0021
4.8698 4.4517 -0.0021
0.0023 0.0009 4.7808
Sb Cd Sr
1 1 2
direct
0.2939 0.2939 0.1252
0.4572 0.4572 0.6249
0.0111 0.0111 0.1247
0.7378 0.7378 0.6253
```

***

# 8
SrCd2Sb | PBE | relaxed

The structure in POSCAR format:
```
SrCd2Sb
1.0
4.7995 -0.0068 0.0140
2.4088 4.1512 0.0140
2.3837 1.3705 6.1172
Cd Sb Sr
2 1 1
direct
0.0218 0.0218 0.9355
0.7467 0.7467 0.7596
0.4786 0.4786 0.5638
0.2530 0.2530 0.2411
```

***

# 9
SrCd2Sb | PBE | relaxed

The structure in POSCAR format:
```
SrCd2Sb
1.0
-3.2541 1.5163 -4.1682
-4.5667 -2.8609 -1.1056
-4.9380 2.1975 1.0243
Cd Sb Sr
2 1 1
direct
0.0000 0.0000 0.0000
0.2500 0.2500 0.2500
0.5000 0.5000 0.5000
0.7500 0.7500 0.7500
```

***

# 10
SrCdSb2 | PBE | relaxed

The structure in POSCAR format:
```
SrCdSb2
1.0
6.4095 -0.0121 -0.0036
5.0069 4.0016 -0.0036
2.0655 0.7218 4.6626
Cd Sb Sr
1 2 1
direct
0.2786 0.2786 0.2212
0.0098 0.0098 0.9896
0.7166 0.7166 0.7848
0.4950 0.4950 0.5045
```

***

# 11
SrCdSb2 | PBE | relaxed

The structure in POSCAR format:
```
SrCdSb2
1.0
3.7072 0.0000 0.0000
0.0000 3.7072 0.0000
0.0000 0.0000 8.5959
Cd Sb Sr
1 2 1
direct
0.5000 0.5000 0.7500
0.0000 0.0000 0.9756
0.0000 0.0000 0.5244
0.5000 0.5000 0.2500
```

***

# 12
Sr2CdSb | PBE | relaxed

The structure in POSCAR format:
```
Sr2CdSb
1.0
5.4574 0.0000 0.0000
0.0000 4.4527 -0.0002
0.0000 -0.0002 5.4562
Sb Sr Cd
1 2 1
direct
0.5000 0.6248 0.8759
0.0000 0.1251 0.8747
0.5000 0.1248 0.3754
0.0000 0.6252 0.3740
```

***

# 13
Sr2CdSb3 | PBE | relaxed

The structure in POSCAR format:
```
Sr2CdSb3
1.0
4.7500 0.0000 0.0000
0.0000 8.2883 0.0000
0.0000 0.0000 19.8676
Sr Cd Sb
8 4 12
direct
0.2500 0.6413 0.5855
0.7500 0.8587 0.0855
0.2500 0.1413 0.9145
0.7500 0.3587 0.4145
0.2500 0.6553 0.7950
0.7500 0.8447 0.2950
0.2500 0.1553 0.7050
0.7500 0.3447 0.2050
0.2500 0.9387 0.4412
0.7500 0.5613 0.9412
0.2500 0.4387 0.0588
0.7500 0.0613 0.5588
0.2500 0.7471 0.9717
0.7500 0.7529 0.4717
0.2500 0.2471 0.5283
0.7500 0.2529 0.0283
0.2500 0.0600 0.1813
0.7500 0.4400 0.6813
0.2500 0.5600 0.3187
0.7500 0.9400 0.8187
0.2500 0.6437 0.1805
0.7500 0.8563 0.6805
0.2500 0.1437 0.3195
0.7500 0.3563 0.8195
```

***

# 14
SrCdSb | PBE | relaxed

The structure in POSCAR format:
```
SrCdSb
1.0
-3.6099 -4.6828 2.2477
0.9445 -3.1907 5.3796
-0.4767 5.7655 -2.5582
Cd Sb Sr
1 1 1
direct
0.9804 0.9804 0.0000
0.3525 0.3525 0.0000
0.6671 0.6671 0.0000
```

***

# 15
SrCd2Sb | PBE | relaxed

The structure in POSCAR format:
```
SrCd2Sb
1.0
4.6513 0.0000 0.0000
0.0000 4.6513 0.0000
0.0000 0.0000 5.2015
Cd Sb Sr
2 1 1
direct
0.0000 0.0000 0.0000
0.5000 0.5000 0.0000
0.5000 0.0000 0.5000
0.0000 0.5000 0.5000
```

***

# 16
Sr2CdSb | PBE | relaxed

The structure in POSCAR format:
```
Sr2CdSb
1.0
4.8250 -0.0102 0.0000
0.0117 4.8250 0.0000
0.0000 0.0000 6.6972
Cd Sb Sr
1 1 2
direct
0.0000 0.0000 0.3752
0.5000 0.5000 0.8748
0.0000 0.0000 0.8751
0.5000 0.5000 0.3750
```

***

# 17
SrCd2Sb | PBE | relaxed

The structure in POSCAR format:
```
SrCd2Sb
1.0
-3.9910 -1.8238 4.2239
2.0444 -4.5852 3.4485
2.2643 5.4005 -1.6742
Cd Sb Sr
2 1 1
direct
0.0003 0.0003 0.0000
0.4997 0.4997 0.0000
0.7500 0.2500 0.5000
0.2500 0.7500 0.5000
```

***

# 18
Sr2Cd3Sb4 | PBE | relaxed

The structure in POSCAR format:
```
Sr2Cd3Sb4
1.0
-0.6054 5.3871 -4.1466
-8.9212 -1.5304 -0.6858
-1.0720 2.3144 8.7803
Sr Cd Sb
4 6 8
direct
0.1178 0.5753 0.2356
0.8822 0.4247 0.7644
0.3822 0.0753 0.7644
0.6178 0.9247 0.2356
0.0000 0.0000 0.0000
0.5000 0.5000 0.0000
0.5326 0.7500 0.5652
0.9674 0.2500 0.4348
0.4674 0.2500 0.4348
0.0326 0.7500 0.5652
0.7024 0.7500 0.9047
0.7976 0.2500 0.0953
0.2976 0.2500 0.0953
0.2024 0.7500 0.9047
0.1861 0.9401 0.3721
0.8139 0.0599 0.6279
0.3139 0.4401 0.6279
0.6861 0.5599 0.3721
```

***

# 19
SrCd3Sb3 | PBE | relaxed

The structure in POSCAR format:
```
SrCd3Sb3
1.0
7.9742 0.0000 0.0000
0.0000 7.9742 0.0000
0.0000 0.0000 7.9742
Sb Sr Cd
6 2 6
direct
0.0000 0.2500 0.5000
0.0000 0.7500 0.5000
0.5000 0.0000 0.7500
0.7500 0.5000 0.0000
0.5000 0.0000 0.2500
0.2500 0.5000 0.0000
0.5000 0.5000 0.5000
0.0000 0.0000 0.0000
0.2500 0.0000 0.5000
0.0000 0.5000 0.2500
0.5000 0.7500 0.0000
0.7500 0.0000 0.5000
0.0000 0.5000 0.7500
0.5000 0.2500 0.0000
```

***

# 20
SrCdSb2 | PBE | relaxed

The structure in POSCAR format:
```
SrCdSb2
1.0
-0.6332 -4.3920 -3.4383
-2.1143 -2.0233 4.7904
-3.4258 1.2607 -0.9795
Cd Sb Sr
1 2 1
direct
0.0000 0.5000 0.5000
0.0000 0.0000 0.0000
0.5000 0.5000 0.0000
0.5000 0.0000 0.5000
```

***

| no. | formation energy (no corrections) (meV/atom) | calculated volume (Å³/f.u.) | total moment (μB/atom) |
| --- | --- | --- | --- |
| 1 | -294 | 115.2 | 0.000 |
| 2 | -438 | 114.1 | 0.000 |
| 3 | -255 | 121.9 | 0.000 |
| 4 | -291 | 115.7 | 0.000 |
| 5 | -226 | 183.8 | 0.000 |
| 6 | -547 | 100.4 | 0.000 |
| 7 | -716 | 140.6 | 0.000 |
| 8 | -369 | 121.8 | 0.000 |
| 9 | -303 | 117.7 | 0.000 |
| 10 | -377 | 119.9 | 0.000 |
| 11 | -235 | 118.1 | 0.000 |
| 12 | -686 | 132.6 | 0.000 |
| 13 | -664 | 195.5 | 0.000 |
| 14 | -429 | 92.0 | 0.000 |
| 15 | -388 | 112.5 | 0.000 |
| 16 | -478 | 155.9 | 0.000 |
| 17 | -364 | 113.7 | 0.000 |
| 18 | -481 | 262.8 | 0.000 |
| 19 | -81 | 253.5 | 0.000 |
| 20 | -350 | 116.7 | 0.000 |